Entry 1:
# Li2ScO2 PBE relaxed
data_Li2ScO2
_cell_length_a 2.975
_cell_length_b 2.975
_cell_length_c 5.486
_cell_angle_alpha 74.27
_cell_angle_beta 74.27
_cell_angle_gamma 90.00
_symmetry_space_group_name_H-M 'P 1'
_symmetry_Int_Tables_number 1
_symmetry_space_group_name_Hall 'P 1'
loop_
_atom_site_label
_atom_site_type_symbol
_atom_site_fract_x
_atom_site_fract_y
_atom_site_fract_z
Li1 Li 0.750 0.250 0.500
O1 O 0.630 0.630 0.741
Li2 Li 0.250 0.750 0.500
O2 O 0.370 0.370 0.259
Sc1 Sc 0.000 0.000 0.000
# Space group: No. 139
# ΔE_f (raw) (meV per atom): -1905
# E (eV per atom): -5.920
# Energy above the most stable polymorph in this dataset (eV/atom): 0.063
# Crystal system: tetragonal


Entry 2:
# La3YTl4Se8 PBE relaxed
data_La3YTl4Se8
_cell_length_a 8.733
_cell_length_b 9.220
_cell_length_c 8.733
_cell_angle_alpha 118.27
_cell_angle_beta 120.00
_cell_angle_gamma 90.00
_symmetry_space_group_name_H-M 'P 1'
_symmetry_Int_Tables_number 1
_symmetry_space_group_name_Hall 'P 1'
loop_
_atom_site_label
_atom_site_type_symbol
_atom_site_fract_x
_atom_site_fract_y
_atom_site_fract_z
Tl1 Tl 0.500 0.000 0.000
Se1 Se 0.738 0.713 0.476
Tl2 Tl 0.000 0.000 0.000
Se2 Se 0.232 0.709 0.978
Tl3 Tl 0.000 0.000 0.500
Se3 Se 0.747 0.709 0.978
Se4 Se 0.262 0.287 0.524
Se5 Se 0.768 0.291 0.022
Se6 Se 0.231 0.709 0.462
Se7 Se 0.253 0.291 0.022
Tl4 Tl 0.500 0.000 0.500
La1 La 0.500 0.500 0.500
Se8 Se 0.769 0.291 0.538
La2 La 0.500 0.500 0.000
Y1 Y 0.000 0.500 0.000
La3 La 0.000 0.500 0.500
# Space group: No. 12
# ΔE_f (raw) (meV per atom): -1441
# E (eV per atom): -5.102
# Crystal system: monoclinic


Entry 3:
# TbZr3 PBE relaxed
data_TbZr3
_cell_length_a 3.299
_cell_length_b 5.759
_cell_length_c 6.230
_cell_angle_alpha 117.53
_cell_angle_beta 105.35
_cell_angle_gamma 90.00
_symmetry_space_group_name_H-M 'P 1'
_symmetry_Int_Tables_number 1
_symmetry_space_group_name_Hall 'P 1'
loop_
_atom_site_label
_atom_site_type_symbol
_atom_site_fract_x
_atom_site_fract_y
_atom_site_fract_z
Zr1 Zr 0.500 0.503 0.000
Tb1 Tb 0.000 0.998 0.000
Zr2 Zr 0.754 0.087 0.508
Zr3 Zr 0.246 0.579 0.492
# Energy of formation from the pure elements (eV per atom): 0.07
# Space group: No. 44
# E (eV per atom): -7.494
# Energy above the most stable polymorph in this dataset (eV/atom): 0.015
# Crystal system: orthorhombic


Entry 4:
# MgNb2P2 PBE relaxed
data_MgNb2P2
_cell_length_a 6.898
_cell_length_b 6.898
_cell_length_c 3.295
_cell_angle_alpha 90.00
_cell_angle_beta 90.00
_cell_angle_gamma 90.00
_symmetry_space_group_name_H-M 'P 1'
_symmetry_Int_Tables_number 1
_symmetry_space_group_name_Hall 'P 1'
loop_
_atom_site_label
_atom_site_type_symbol
_atom_site_fract_x
_atom_site_fract_y
_atom_site_fract_z
P1 P 0.641 0.141 0.000
Nb1 Nb 0.347 0.153 0.500
Nb2 Nb 0.153 0.653 0.500
P2 P 0.859 0.641 0.000
Nb3 Nb 0.847 0.347 0.500
Mg1 Mg 0.500 0.500 0.000
P3 P 0.359 0.859 0.000
Nb4 Nb 0.653 0.847 0.500
Mg2 Mg 0.000 0.000 0.000
P4 P 0.141 0.359 0.000
# Energy of formation from the pure elements (eV per atom): -0.67
# Space group: No. 127
# E (eV per atom): -7.181
# Crystal system: tetragonal


Record order is preserved below.
M_tot: 0.7 0.0 0.0 0.0 μB per formula unit